Entry 1:
Entry from the Alexandria database: an optimized crystal structure of TaHgTe2 (PBE).

Lattice parameters (Å, degrees): 5.8159 5.8159 8.0056 68.70 68.70 90.00
Each line ends with the local moment (μB).
Sites, in units of the cell vectors:
Te (0.4549, 0.9549, 0.0902)  -0.07
Hg (0.0000, 0.0000, 0.0000)  -0.01
Te (0.0451, 0.5451, 0.9098)  -0.06
Te (0.2951, 0.2951, 0.4098)  -0.07
Ta (0.5000, 0.5000, 0.0000)  1.21
Hg (0.7500, 0.2500, 0.5000)  -0.01
Ta (0.2500, 0.7500, 0.5000)  1.21
Te (0.7049, 0.7049, 0.5902)  -0.06

Calculated values
E: -4.38 eV per atom
Space group: No. 141
Size of the total moment: 3.27 μB/cell



Entry 2:
Entry from the Alexandria database: an optimized crystal structure of CePaAsN2 (PBE).

Lattice parameters (Å, degrees): 3.8706 3.8706 6.6710 106.86 106.86 90.00
Each line ends with the local moment (μB).
Sites, in units of the cell vectors:
As (0.5037, 0.5037, 0.0074)  -0.01
Pa (0.1555, 0.1555, 0.3110)  0.00
Ce (0.8504, 0.8504, 0.7008)  0.20
N (0.2452, 0.7452, 0.4904)  -0.01
N (0.7452, 0.2452, 0.4904)  -0.01

Calculated values
E: -8.90 eV per atom
Space group: No. 107
Size of the total moment: 0.17 μB/cell



Entry 3:
Entry from the Alexandria database: an optimized crystal structure of MgNiH2Au (PBE).

Lattice parameters (Å, degrees): 3.5729 5.5401 3.5729 90.00 90.00 90.00
Each line ends with the local moment (μB).
Sites, in units of the cell vectors:
H (0.5000, 0.0000, 0.0000)  0.01
H (0.0000, 0.0000, 0.5000)  0.00
Mg (0.0000, 0.5000, 0.0000)  0.00
Au (0.0000, 0.0000, 0.0000)  0.00
Ni (0.5000, 0.5000, 0.5000)  0.27

Calculated values
E: -3.02 eV per atom
Space group: No. 123
Size of the total moment: 0.32 μB/cell